(1)
Here is a geometry-optimized Tb3Nd4Sm structure from Alexandria. Energies are from GGA-PBE.

Lattice parameters (Å, degrees): 10.277 7.257 7.253 90.00 90.00 90.00
Fractional positions:
Tb  0.000  0.000  0.000
Tb  0.250  0.249  0.250
Tb  0.250  0.751  0.750
Tb  0.500  0.000  0.500
Tb  0.750  0.249  0.250
Tb  0.750  0.751  0.750
Nd  0.000  0.000  0.500
Nd  0.000  0.500  0.000
Nd  0.250  0.249  0.750
Nd  0.250  0.751  0.250
Nd  0.500  0.000  0.000
Nd  0.500  0.500  0.500
Nd  0.750  0.249  0.750
Nd  0.750  0.751  0.250
Sm  0.000  0.500  0.500
Sm  0.500  0.500  0.000

Computed properties:
The value obtained for the total magnetization is 0.000 μB per atom. The calculation puts the formation energy at 0.016 eV per atom. The calculated density comes out at 7.4 g cm⁻³. Its crystal system is orthorhombic. The volume comes out at 540.9 Å³ per cell.

=====

(2)
Here is a geometry-optimized TbNd6Sm structure from Alexandria. Energies are from GGA-PBE.

Lattice parameters (Å, degrees): 5.173 5.173 10.342 90.00 90.00 90.00
Fractional positions:
Tb  0.000  0.000  0.000
Nd  0.000  0.500  0.249
Nd  0.000  0.500  0.751
Nd  0.500  0.000  0.249
Nd  0.500  0.000  0.751
Nd  0.500  0.500  0.000
Nd  0.500  0.500  0.500
Sm  0.000  0.000  0.500

Computed properties:
The value obtained for the total magnetization is 0.000 μB per atom. The calculation puts the formation energy at 0.015 eV per atom. The calculated density comes out at 7.0 g cm⁻³. Its crystal system is tetragonal. The volume comes out at 276.8 Å³ per cell.

=====

(3)
Here is a geometry-optimized Tb4Nd3Sm2 structure from Alexandria. Energies are from GGA-PBE.

Lattice parameters (Å, degrees): 6.258 6.263 9.564 109.00 90.05 119.96
Fractional positions:
Tb  0.110  0.388  0.332
Tb  0.332  0.166  0.000
Tb  0.668  0.834  0.000
Tb  0.890  0.612  0.668
Nd  0.000  0.500  0.000
Nd  0.445  0.056  0.333
Nd  0.555  0.944  0.667
Sm  0.222  0.278  0.667
Sm  0.778  0.722  0.333

Computed properties:
The value obtained for the total magnetization is 0.000 μB per atom. The calculation puts the formation energy at 0.014 eV per atom. The calculated density comes out at 7.6 g cm⁻³. Its crystal system is triclinic. The volume comes out at 300.9 Å³ per cell.

=====

(4)
Here is a geometry-optimized Tb3Nd2Sm9 structure from Alexandria. Energies are from GGA-PBE.

Lattice parameters (Å, degrees): 9.132 9.132 13.733 90.00 90.00 120.00
Fractional positions:
Tb  0.080  0.250  0.250
Tb  0.170  0.920  0.250
Tb  0.250  0.170  0.750
Tb  0.750  0.830  0.250
Tb  0.830  0.080  0.750
Tb  0.920  0.750  0.750
Nd  0.333  0.667  0.139
Nd  0.333  0.667  0.361
Nd  0.667  0.333  0.639
Nd  0.667  0.333  0.861
Sm  0.084  0.482  0.750
Sm  0.130  0.723  0.541
Sm  0.130  0.723  0.959
Sm  0.277  0.407  0.541
Sm  0.277  0.407  0.959
Sm  0.398  0.916  0.750
Sm  0.407  0.130  0.041
Sm  0.407  0.130  0.459
Sm  0.482  0.398  0.250
Sm  0.518  0.602  0.750
Sm  0.593  0.870  0.541
Sm  0.593  0.870  0.959
Sm  0.602  0.084  0.250
Sm  0.723  0.593  0.041
Sm  0.723  0.593  0.459
Sm  0.870  0.277  0.041
Sm  0.870  0.277  0.459
Sm  0.916  0.518  0.250

Computed properties:
The value obtained for the total magnetization is 0.000 μB per atom. The calculation puts the formation energy at 0.247 eV per atom. The calculated density comes out at 7.1 g cm⁻³. Its crystal system is hexagonal. The volume comes out at 991.9 Å³ per cell.

=====

(5)
Here is a geometry-optimized Tb4NdSm8 structure from Alexandria. Energies are from GGA-PBE.

Lattice parameters (Å, degrees): 10.217 10.217 10.217 42.35 42.35 42.35
Fractional positions:
Tb  0.000  0.000  0.000
Tb  0.000  0.500  0.500
Tb  0.500  0.000  0.500
Tb  0.500  0.500  0.000
Nd  0.500  0.500  0.500
Sm  0.198  0.751  0.751
Sm  0.217  0.217  0.217
Sm  0.249  0.249  0.802
Sm  0.249  0.802  0.249
Sm  0.751  0.198  0.751
Sm  0.751  0.751  0.198
Sm  0.783  0.783  0.783
Sm  0.802  0.249  0.249

Computed properties:
The value obtained for the total magnetization is 0.000 μB per atom. The calculation puts the formation energy at 0.179 eV per atom. The calculated density comes out at 7.5 g cm⁻³. Its crystal system is trigonal. The volume comes out at 438.2 Å³ per cell.

=====

(6)
Here is a geometry-optimized Tb4Nd8Sm3 structure from Alexandria. Energies are from GGA-PBE.

Lattice parameters (Å, degrees): 9.316 9.316 6.935 111.50 111.50 82.31
Fractional positions:
Tb  0.000  0.000  0.000
Tb  0.000  0.000  0.500
Tb  0.000  0.500  0.000
Tb  0.500  0.000  0.000
Nd  0.247  0.247  0.764
Nd  0.247  0.753  0.000
Nd  0.295  0.295  0.307
Nd  0.296  0.704  0.500
Nd  0.704  0.296  0.500
Nd  0.705  0.705  0.693
Nd  0.753  0.247  0.000
Nd  0.753  0.753  0.236
Sm  0.000  0.500  0.500
Sm  0.500  0.000  0.500
Sm  0.500  0.500  0.000

Computed properties:
The value obtained for the total magnetization is 0.000 μB per atom. The calculation puts the formation energy at 0.323 eV per atom. The calculated density comes out at 7.1 g cm⁻³. Its crystal system is monoclinic. The volume comes out at 521.1 Å³ per cell.

=====

(7)
Here is a geometry-optimized Tb4Nd3Sm structure from Alexandria. Energies are from GGA-PBE.

Lattice parameters (Å, degrees): 11.631 7.336 6.330 90.00 90.00 90.00
Fractional positions:
Tb  0.000  0.122  0.000
Tb  0.000  0.877  0.499
Tb  0.250  0.122  0.332
Tb  0.250  0.878  0.832
Tb  0.500  0.123  0.999
Tb  0.500  0.878  0.500
Tb  0.750  0.122  0.332
Tb  0.750  0.878  0.832
Nd  0.000  0.627  0.998
Nd  0.250  0.373  0.833
Nd  0.250  0.627  0.333
Nd  0.500  0.373  0.498
Nd  0.750  0.373  0.833
Nd  0.750  0.627  0.333
Sm  0.000  0.372  0.499
Sm  0.500  0.628  0.999

Computed properties:
The value obtained for the total magnetization is 0.000 μB per atom. The calculation puts the formation energy at 0.028 eV per atom. The calculated density comes out at 7.5 g cm⁻³. Its crystal system is orthorhombic. The volume comes out at 540.1 Å³ per cell.

=====

(8)
Here is a geometry-optimized Tb5NdSm2 structure from Alexandria. Energies are from GGA-PBE.

Lattice parameters (Å, degrees): 7.191 14.386 5.072 90.00 90.00 90.00
Fractional positions:
Tb  0.000  0.000  0.000
Tb  0.000  0.249  0.000
Tb  0.000  0.751  0.000
Tb  0.250  0.126  0.500
Tb  0.250  0.626  0.500
Tb  0.500  0.251  0.000
Tb  0.500  0.500  0.000
Tb  0.500  0.749  0.000
Tb  0.750  0.374  0.500
Tb  0.750  0.874  0.500
Nd  0.000  0.500  0.000
Nd  0.500  0.000  0.000
Sm  0.249  0.874  0.500
Sm  0.251  0.374  0.500
Sm  0.749  0.626  0.500
Sm  0.751  0.126  0.500

Computed properties:
The value obtained for the total magnetization is 0.000 μB per atom. The calculation puts the formation energy at 0.015 eV per atom. The calculated density comes out at 7.8 g cm⁻³. Its crystal system is orthorhombic. The volume comes out at 524.7 Å³ per cell.

=====

(9)
Here is a geometry-optimized Tb6Nd3Sm2 structure from Alexandria. Energies are from GGA-PBE.

Lattice parameters (Å, degrees): 6.221 6.221 11.727 95.16 95.16 120.15
Fractional positions:
Tb  0.084  0.418  0.752
Tb  0.249  0.249  0.248
Tb  0.418  0.084  0.752
Tb  0.582  0.916  0.248
Tb  0.751  0.751  0.752
Tb  0.916  0.582  0.248
Nd  0.000  0.000  0.500
Nd  0.336  0.664  0.500
Nd  0.664  0.336  0.500
Sm  0.166  0.834  0.000
Sm  0.834  0.166  0.000

Computed properties:
The value obtained for the total magnetization is 0.000 μB per atom. The calculation puts the formation energy at 0.190 eV per atom. The calculated density comes out at 7.3 g cm⁻³. Its crystal system is monoclinic. The volume comes out at 386.1 Å³ per cell.

=====

(10)
Here is a geometry-optimized TbNd4Sm structure from Alexandria. Energies are from GGA-PBE.

Lattice parameters (Å, degrees): 7.007 7.007 9.761 90.00 90.00 118.54
Fractional positions:
Tb  0.000  0.000  0.000
Tb  0.000  0.000  0.500
Nd  0.203  0.361  0.250
Nd  0.321  0.679  0.574
Nd  0.321  0.679  0.926
Nd  0.361  0.203  0.750
Nd  0.639  0.797  0.250
Nd  0.679  0.321  0.074
Nd  0.679  0.321  0.426
Nd  0.797  0.639  0.750
Sm  0.183  0.817  0.250
Sm  0.817  0.183  0.750

Computed properties:
The value obtained for the total magnetization is 0.000 μB per atom. The calculation puts the formation energy at 0.225 eV per atom. The calculated density comes out at 7.0 g cm⁻³. Its crystal system is orthorhombic. The volume comes out at 421.0 Å³ per cell.

=====

Question: Which value of calculated density does entry 4 give?
Answer: 7.1 g cm⁻³

=====

What did the first record say?
Here is a geometry-optimized Tb3Nd4Sm structure from Alexandria. Energies are from GGA-PBE.

Lattice parameters (Å, degrees): 10.277 7.257 7.253 90.00 90.00 90.00
Fractional positions:
Tb  0.000  0.000  0.000
Tb  0.250  0.249  0.250
Tb  0.250  0.751  0.750
Tb  0.500  0.000  0.500
Tb  0.750  0.249  0.250
Tb  0.750  0.751  0.750
Nd  0.000  0.000  0.500
Nd  0.000  0.500  0.000
Nd  0.250  0.249  0.750
Nd  0.250  0.751  0.250
Nd  0.500  0.000  0.000
Nd  0.500  0.500  0.500
Nd  0.750  0.249  0.750
Nd  0.750  0.751  0.250
Sm  0.000  0.500  0.500
Sm  0.500  0.500  0.000

Computed properties:
The value obtained for the total magnetization is 0.000 μB per atom. The calculation puts the formation energy at 0.016 eV per atom. The calculated density comes out at 7.4 g cm⁻³. Its crystal system is orthorhombic. The volume comes out at 540.9 Å³ per cell.

=====

Question: Number 4 is which compound?
Answer: Tb3Nd2Sm9